1.
Cd2CoOs: optimized geometry, PBE.

The structure in CIF format:
```
data_Cd2CoOs
_symmetry_space_group_name_H-M 'C 1 m 1'
_symmetry_Int_Tables_number 8
_cell_length_a 10.541
_cell_length_b 2.763
_cell_length_c 4.968
_cell_angle_alpha 90.00
_cell_angle_beta 114.09
_cell_angle_gamma 90.00
loop_
_symmetry_equiv_pos_as_xyz
'x,y,z'
'x,-y,z'
'x+1/2,y+1/2,z'
'x+1/2,-y+1/2,z'
loop_
_atom_site_label
_atom_site_fract_x
_atom_site_fract_y
_atom_site_fract_z
Cd1 0.000 0.000 0.000
Cd2 0.213 0.000 0.618
Co1 0.457 0.000 0.483
Os1 0.266 0.500 0.156
```

Calculated values
The magnetic moment comes out at 0.144 μB per atom. The value obtained for the energy of formation is 10.962 kcal/mol of atoms. The crystal system is monoclinic. Its density is 11.918 g/cm3. Its total energy is -4.5661 eV per atom. For the relative energy among the computed polymorphs, the calculation gives 202 meV per atom.


2.
Ba3HgS4: optimized geometry, PBE.

The structure in CIF format:
```
data_Ba3HgS4
_symmetry_space_group_name_H-M 'P m n 21'
_symmetry_Int_Tables_number 31
_cell_length_a 10.307
_cell_length_b 8.879
_cell_length_c 6.450
_cell_angle_alpha 90.00
_cell_angle_beta 90.00
_cell_angle_gamma 90.00
loop_
_symmetry_equiv_pos_as_xyz
'x,y,z'
'-x+1/2,-y,z+1/2'
'-x,y,z'
'x+1/2,-y,z+1/2'
loop_
_atom_site_label
_atom_site_fract_x
_atom_site_fract_y
_atom_site_fract_z
Ba1 0.000 0.134 0.000
Ba2 0.240 0.330 0.502
Hg1 0.000 0.814 0.437
S1 0.000 0.118 0.503
S2 0.000 0.803 0.026
S3 0.232 0.685 0.506
```

Calculated values
The magnetic moment comes out at 0.000 μB per atom. As for the uncorrected formation energy: -1124.9 kJ/mol of formula units. The crystal system is orthorhombic. Its density is 4.168 g/cm3. Its total energy is -4.2798 eV per atom.


3.
DyHo5Th2: optimized geometry, PBE.

The structure in CIF format:
```
data_DyHo5Th2
_symmetry_space_group_name_H-M 'I m m a'
_symmetry_Int_Tables_number 74
_symmetry_space_group_name_Hall '-I 2b 2'
_cell_length_a 6.520
_cell_length_b 13.242
_cell_length_c 11.878
_cell_angle_alpha 90.00
_cell_angle_beta 90.00
_cell_angle_gamma 90.00
loop_
_atom_site_label
_atom_site_fract_x
_atom_site_fract_y
_atom_site_fract_z
Dy1 0.000 0.250 0.205
Ho1 0.000 0.118 0.968
Ho2 0.000 0.250 0.486
Ho3 0.250 0.017 0.250
Th1 0.000 0.000 0.500
Th2 0.250 0.250 0.750
```

Calculated values
The magnetic moment comes out at 0.000 μB per atom. The value obtained for the energy of formation is 5.415 kcal/mol of atoms. The crystal system is orthorhombic. Its density is 9.400 g/cm3. Its total energy is -5.0565 eV per atom. For the relative energy among the computed polymorphs, the calculation gives 136 meV per atom.


4.
CoBr2Cl: optimized geometry, PBE.

The structure in CIF format:
```
data_CoBr2Cl
_symmetry_space_group_name_H-M 'P n n a'
_symmetry_Int_Tables_number 52
_cell_length_a 6.151
_cell_length_b 5.767
_cell_length_c 10.099
_cell_angle_alpha 90.00
_cell_angle_beta 90.00
_cell_angle_gamma 90.00
loop_
_symmetry_equiv_pos_as_xyz
'x,y,z'
'-x,-y,-z'
'-x+1/2,-y,z'
'x+1/2,y,-z'
'x,-y+1/2,-z+1/2'
'-x,y+1/2,z+1/2'
'-x+1/2,y+1/2,-z+1/2'
'x+1/2,-y+1/2,z+1/2'
loop_
_atom_site_label
_atom_site_fract_x
_atom_site_fract_y
_atom_site_fract_z
Co1 0.250 0.000 0.093
Br1 0.076 0.223 0.923
Cl1 0.097 0.250 0.250
```

Calculated values
The magnetic moment comes out at 0.000 μB per atom. As for the uncorrected formation energy: -126.0 kJ/mol of formula units. The crystal system is orthorhombic. Its density is 4.713 g/cm3. Its total energy is -3.4010 eV per atom. For the relative energy among the computed polymorphs, the calculation gives 0 meV per atom.